The following is a DFT calculation (GGA-PBE) of a relaxed structure of MgTiBi2.

a b c (Å): 3.3518 3.3518 11.3223
angles (deg): 81.49 81.49 60.00
Positions (direct):
1 Mg 0.0000 0.0000 0.0000
2 Bi 0.0981 0.0981 0.7058
3 Bi 0.9019 0.9019 0.2942
4 Ti 0.5000 0.5000 0.5000

## Properties
The volume is 27.1 Å³/atom. The value obtained for the energy of formation is 0.04 eV/atom.


The following is a DFT calculation (GGA-PBE) of a relaxed structure of BaPdSeN2.

a b c (Å): 4.6582 4.6582 6.4979
angles (deg): 90.00 90.00 90.00
Positions (direct):
1 Se 0.0000 0.0000 0.5000
2 Ba 0.0000 0.0000 0.0000
3 Pd 0.5000 0.5000 0.5000
4 N 0.0000 0.5000 0.0000
5 N 0.5000 0.0000 0.0000

## Properties
The volume is 28.2 Å³/atom. The formation energy without anion corrections comes out at 1.84 eV/atom. The distance to the lowest polymorph of the same formula is 1.298 eV/atom.


The following is a DFT calculation (GGA-PBE) of a relaxed structure of RbBi3Pt.

a b c (Å): 4.6014 10.4298 13.5742
angles (deg): 90.00 90.00 90.00
Positions (direct):
1 Rb 0.7500 0.8260 0.0059
2 Rb 0.2500 0.6740 0.5059
3 Rb 0.7500 0.3260 0.4941
4 Rb 0.2500 0.1740 0.9941
5 Bi 0.2500 0.5705 0.0767
6 Bi 0.7500 0.4295 0.9233
7 Bi 0.2500 0.0705 0.4233
8 Bi 0.7500 0.9295 0.5767
9 Bi 0.2500 0.3515 0.7172
10 Bi 0.7500 0.1485 0.2172
11 Bi 0.2500 0.8515 0.7828
12 Bi 0.7500 0.6404 0.7389
13 Bi 0.2500 0.3596 0.2611
14 Bi 0.7500 0.1404 0.7611
15 Bi 0.7500 0.6485 0.2828
16 Bi 0.2500 0.8596 0.2389
17 Pt 0.2500 0.0735 0.6369
18 Pt 0.2500 0.5735 0.8631
19 Pt 0.7500 0.4265 0.1369
20 Pt 0.7500 0.9265 0.3631

## Properties
The volume is 32.6 Å³/atom. The value obtained for the energy of formation is -0.24 eV/atom. The distance to the lowest polymorph of the same formula is 0.000 eV/atom.


The following is a DFT calculation (GGA-PBE) of a relaxed structure of KZnCu2.

a b c (Å): 4.5533 4.5533 6.7782
angles (deg): 83.37 83.37 37.10
Positions (direct):
1 Cu 0.9776 0.9776 0.1108
2 Cu 0.5224 0.5224 0.3892
3 K 0.7500 0.7500 0.7500
4 Zn 0.2500 0.2500 0.2500

## Properties
The volume is 21.0 Å³/atom. The value obtained for the energy of formation is 0.24 eV/atom.


The following is a DFT calculation (GGA-PBE) of a relaxed structure of MnTlPb2Br8.

a b c (Å): 7.1981 6.6577 9.0577
angles (deg): 89.90 89.97 86.79
Positions (direct):
1 Mn 0.0000 0.0000 0.0000
2 Tl 0.0000 0.0000 0.5000
3 Pb 0.5002 0.4998 0.7651
4 Pb 0.4998 0.5002 0.2349
5 Br 0.1371 0.7758 0.1930
6 Br 0.6729 0.7614 0.9997
7 Br 0.8621 0.2234 0.1926
8 Br 0.8629 0.2242 0.8070
9 Br 0.3271 0.2386 0.0003
10 Br 0.1379 0.7766 0.8074
11 Br 0.6508 0.7168 0.4998
12 Br 0.3492 0.2832 0.5002

## Properties
The volume is 36.1 Å³/atom. The formation energy without anion corrections comes out at -0.77 eV/atom.


The following is a DFT calculation (GGA-PBE) of a relaxed structure of Pu8Pd5Au.

a b c (Å): 7.5994 7.5994 7.5994
angles (deg): 109.35 109.71 109.35
Positions (direct):
1 Pu 0.1230 0.7579 0.0252
2 Pu 0.9748 0.0977 0.7326
3 Pu 0.7632 0.2454 0.3690
4 Pu 0.6310 0.3942 0.8764
5 Pu 0.4823 0.6058 0.2368
6 Pu 0.6349 0.9023 0.8770
7 Pu 0.2674 0.2421 0.3651
8 Pu 0.1236 0.7546 0.5177
9 Pd 0.0060 0.3810 0.1301
10 Pd 0.8699 0.8759 0.2509
11 Pd 0.7491 0.6190 0.6250
12 Pd 0.5000 0.0000 0.5000
13 Pd 0.3750 0.1241 0.9940
14 Au 0.2500 0.5000 0.7500

## Properties
The volume is 24.1 Å³/atom. The value obtained for the energy of formation is -0.30 eV/atom.


The following is a DFT calculation (GGA-PBE) of a relaxed structure of NpTa4N8.

a b c (Å): 3.1489 7.6945 7.7633
angles (deg): 80.89 78.30 78.19
Positions (direct):
1 Np 0.6358 0.8500 0.8784
2 Ta 0.3684 0.4411 0.8221
3 Ta 0.8644 0.7971 0.4740
4 Ta 0.1624 0.1693 0.5060
5 Ta 0.6545 0.5017 0.1892
6 N 0.1430 0.3921 0.3219
7 N 0.5397 0.2537 0.6669
8 N 0.4655 0.7228 0.3461
9 N 0.8379 0.6144 0.7097
10 N 0.8302 0.3539 0.9858
11 N 0.2113 0.9105 0.6670
12 N 0.1538 0.6674 0.0250
13 N 0.7782 0.0583 0.3853

## Properties
The volume is 13.8 Å³/atom. The formation energy without anion corrections comes out at -0.88 eV/atom.


The following is a DFT calculation (GGA-PBE) of a relaxed structure of HfVMo3.

a b c (Å): 4.5461 4.5461 4.5461
angles (deg): 90.00 90.00 90.00
Positions (direct):
1 Mo 0.0000 0.5000 0.0000
2 Mo 0.0000 0.0000 0.5000
3 Mo 0.5000 0.0000 0.0000
4 Hf 0.5000 0.5000 0.5000
5 V 0.0000 0.0000 0.0000

## Properties
The volume is 18.8 Å³/atom. The value obtained for the energy of formation is 0.93 eV/atom. The distance to the lowest polymorph of the same formula is 0.000 eV/atom.


The following is a DFT calculation (GGA-PBE) of a relaxed structure of BaZrBr2.

a b c (Å): 5.4502 5.4502 3.6978
angles (deg): 90.00 90.00 89.86
Positions (direct):
1 Br 0.0000 0.0000 0.0000
2 Br 0.5000 0.5000 0.0000
3 Ba 0.0000 0.5000 0.5000
4 Zr 0.5000 0.0000 0.5000

## Properties
The volume is 27.5 Å³/atom. The formation energy without anion corrections comes out at -0.56 eV/atom. The distance to the lowest polymorph of the same formula is 0.251 eV/atom.


The following is a DFT calculation (GGA-PBE) of a relaxed structure of U3Co2Si7.

a b c (Å): 12.3069 12.3069 4.0222
angles (deg): 90.00 90.00 161.39
Positions (direct):
1 U 0.6858 0.3142 0.0000
2 U 0.3142 0.6858 0.0000
3 U 0.0000 0.0000 0.5000
4 Co 0.8717 0.1283 0.5000
5 Co 0.1283 0.8717 0.5000
6 Si 0.5000 0.5000 0.0000
7 Si 0.5868 0.4132 0.5000
8 Si 0.4132 0.5868 0.5000
9 Si 0.9126 0.0874 0.0000
10 Si 0.0874 0.9126 0.0000
11 Si 0.7780 0.2220 0.5000
12 Si 0.2220 0.7780 0.5000

## Properties
The volume is 16.2 Å³/atom. The formation energy without anion corrections comes out at -0.48 eV/atom.


The following is a DFT calculation (GGA-PBE) of a relaxed structure of Ca2LaPt.

a b c (Å): 7.6184 7.6184 7.6184
angles (deg): 152.51 141.34 48.09
Positions (direct):
1 Ca 0.0736 0.0736 0.0000
2 Ca 0.4264 0.4264 0.0000
3 Pt 0.2500 0.7500 0.5000
4 La 0.7500 0.2500 0.5000

## Properties
The volume is 31.8 Å³/atom. The value obtained for the energy of formation is -0.50 eV/atom. The distance to the lowest polymorph of the same formula is 0.105 eV/atom.


The following is a DFT calculation (GGA-PBE) of a relaxed structure of LiAcTlAg.

a b c (Å): 5.3795 5.3795 5.3795
angles (deg): 60.00 60.00 60.00
Positions (direct):
1 Ac 0.0000 0.0000 0.0000
2 Tl 0.7500 0.7500 0.7500
3 Ag 0.2500 0.2500 0.2500
4 Li 0.5000 0.5000 0.5000

## Properties
The volume is 27.5 Å³/atom. The value obtained for the energy of formation is -0.21 eV/atom. The distance to the lowest polymorph of the same formula is 0.039 eV/atom.